Version a
Computed, not measured: a geometry-optimized ScVSe3 structure at the PBE level of DFT.

The structure in CIF format:
```
data_ScVSe3
_chemical_formula_sum 'Sc1 V1 Se3'
_cell_length_a 4.850
_cell_length_b 4.850
_cell_length_c 4.850
_cell_angle_alpha 90.00
_cell_angle_beta 90.00
_cell_angle_gamma 90.00
_symmetry_space_group_name_H-M 'P m -3 m'
_symmetry_Int_Tables_number 221
_symmetry_space_group_name_Hall '-P 4 2 3'
loop_
_atom_site_label
_atom_site_type_symbol
_atom_site_fract_x
_atom_site_fract_y
_atom_site_fract_z
Sc1 Sc 0.000 0.000 0.000
V1 V 0.500 0.500 0.500
Se1 Se 0.000 0.500 0.500
```

Summary:
Total magnetization = 2.0 μB per formula unit


Version b
Computed, not measured: a geometry-optimized ScVSe3 structure at the PBE level of DFT.

The structure in CIF format:
```
data_ScVSe3
_chemical_formula_sum 'Sc1 V1 Se3'
_cell_length_a 5.097
_cell_length_b 5.097
_cell_length_c 5.097
_cell_angle_alpha 90.00
_cell_angle_beta 90.00
_cell_angle_gamma 90.00
_symmetry_space_group_name_H-M 'P m -3 m'
_symmetry_Int_Tables_number 221
_symmetry_space_group_name_Hall '-P 4 2 3'
loop_
_atom_site_label
_atom_site_type_symbol
_atom_site_fract_x
_atom_site_fract_y
_atom_site_fract_z
Sc1 Sc 0.000 0.000 0.000
V1 V 0.500 0.500 0.500
Se1 Se 0.000 0.000 0.500
```

Summary:
Total magnetization = 2.3 μB per formula unit


Most favorable structure: version a. The second most favorable one is 27.0 kJ/mol of atoms above it.


Version a
Computed, not measured: a geometry-optimized Sc3VSe structure at the PBE level of DFT.

The structure in CIF format:
```
data_Sc3VSe
_chemical_formula_sum 'Sc3 V1 Se1'
_cell_length_a 4.987
_cell_length_b 4.987
_cell_length_c 4.987
_cell_angle_alpha 90.00
_cell_angle_beta 90.00
_cell_angle_gamma 90.00
_symmetry_space_group_name_H-M 'P m -3 m'
_symmetry_Int_Tables_number 221
_symmetry_space_group_name_Hall '-P 4 2 3'
loop_
_atom_site_label
_atom_site_type_symbol
_atom_site_fract_x
_atom_site_fract_y
_atom_site_fract_z
Sc1 Sc 0.000 0.000 0.500
V1 V 0.500 0.500 0.500
Se1 Se 0.000 0.000 0.000
```

Summary:
Total magnetization = 2.6 μB per formula unit


Version b
Computed, not measured: a geometry-optimized Sc3VSe structure at the PBE level of DFT.

The structure in CIF format:
```
data_Sc3VSe
_chemical_formula_sum 'Sc3 V1 Se1'
_cell_length_a 4.905
_cell_length_b 4.905
_cell_length_c 4.905
_cell_angle_alpha 90.00
_cell_angle_beta 90.00
_cell_angle_gamma 90.00
_symmetry_space_group_name_H-M 'P m -3 m'
_symmetry_Int_Tables_number 221
_symmetry_space_group_name_Hall '-P 4 2 3'
loop_
_atom_site_label
_atom_site_type_symbol
_atom_site_fract_x
_atom_site_fract_y
_atom_site_fract_z
Sc1 Sc 0.000 0.000 0.500
V1 V 0.000 0.000 0.000
Se1 Se 0.500 0.500 0.500
```

Summary:
Total magnetization = 0.0 μB per formula unit


Most favorable structure: version a. The second most favorable one is 32.7 kJ/mol of atoms above it.


Version a
Computed, not measured: a geometry-optimized Sc2W2Se structure at the PBE level of DFT.

The structure in CIF format:
```
data_Sc2W2Se
_chemical_formula_sum 'Sc4 W4 Se2'
_cell_length_a 7.065
_cell_length_b 7.065
_cell_length_c 4.286
_cell_angle_alpha 90.00
_cell_angle_beta 90.00
_cell_angle_gamma 90.00
_symmetry_space_group_name_H-M 'P 4/m b m'
_symmetry_Int_Tables_number 127
_symmetry_space_group_name_Hall '-P 4 2ab'
loop_
_atom_site_label
_atom_site_type_symbol
_atom_site_fract_x
_atom_site_fract_y
_atom_site_fract_z
Sc1 Sc 0.162 0.338 0.000
W1 W 0.114 0.614 0.500
Se1 Se 0.000 0.000 0.000
```

Summary:
Total magnetization = 0.0 μB per formula unit


Version b
Computed, not measured: a geometry-optimized Sc2W2Se structure at the PBE level of DFT.

The structure in CIF format:
```
data_Sc2W2Se
_chemical_formula_sum 'Sc4 W4 Se2'
_cell_length_a 3.608
_cell_length_b 3.608
_cell_length_c 16.171
_cell_angle_alpha 90.00
_cell_angle_beta 90.00
_cell_angle_gamma 90.00
_symmetry_space_group_name_H-M 'I 4/m m m'
_symmetry_Int_Tables_number 139
_symmetry_space_group_name_Hall '-I 4 2'
loop_
_atom_site_label
_atom_site_type_symbol
_atom_site_fract_x
_atom_site_fract_y
_atom_site_fract_z
Sc1 Sc 0.000 0.000 0.104
W1 W 0.000 0.500 0.250
Se1 Se 0.000 0.000 0.500
```

Summary:
Total magnetization = 0.0 μB per formula unit


Most favorable structure: version b. The second most favorable one is 49.0 kJ/mol of atoms above it.